[1]
YScTe2N: optimized geometry, PBEsol.

Values from the calculation:
Final energy in eV/atom: -5.9254

```
YScTe2N
1.0
-2.776 2.963 -0.327
-3.190 -2.538 4.089
2.771 3.042 4.050
Sc Te Y N
1 2 1 1
direct
0.500 0.500 0.500
0.000 0.500 0.000
0.000 0.000 0.500
0.000 0.000 0.000
0.500 0.000 0.000
```

[2]
Cs2RbAlCl6: optimized geometry, PBEsol.

Values from the calculation:
Final energy in eV/atom: -3.7431

```
Cs2RbAlCl6
1.0
-5.540 -1.376 -5.004
1.636 -3.187 -6.693
-2.138 -7.143 -1.426
Cs Cl Rb Al
2 6 1 1
direct
0.250 0.250 0.250
0.750 0.750 0.750
0.216 0.216 0.784
0.784 0.784 0.216
0.784 0.216 0.216
0.784 0.216 0.784
0.216 0.784 0.784
0.216 0.784 0.216
0.500 0.500 0.500
0.000 0.000 0.000
```

[3]
CaY2CdTc: optimized geometry, PBEsol.

Values from the calculation:
Energy relative to the elements in eV per atom: 1.1781

```
CaY2CdTc
1.0
5.386 0.000 0.000
0.000 5.510 0.000
0.000 0.000 5.510
Y Tc Cd Ca
2 1 1 1
direct
0.000 0.500 0.000
0.000 0.000 0.500
0.500 0.500 0.500
0.000 0.000 0.000
0.500 0.000 0.000
```

[4]
AlPtRh2: optimized geometry, PBEsol.

Values from the calculation:
Energy relative to the elements in eV per atom: -0.3288

```
AlPtRh2
1.0
4.304 0.000 0.000
2.152 3.727 0.000
2.152 1.242 3.514
Rh Al Pt
2 1 1
direct
0.000 0.000 0.000
0.250 0.250 0.250
0.500 0.500 0.500
0.750 0.750 0.750
```

[5]
BeSbAs2: optimized geometry, PBEsol.

Values from the calculation:
Offset from the most stable computed form in meV per atom: 518

```
BeSbAs2
1.0
-2.218 0.597 -2.568
2.610 -2.578 -2.854
-2.416 -3.783 1.208
Be As Sb
1 2 1
direct
0.500 0.500 0.500
0.000 0.500 0.000
0.000 0.000 0.500
0.500 0.000 0.000
```

[6]
TeIrBr: optimized geometry, PBEsol.

Values from the calculation:
Final energy in eV/atom: -4.8036

```
TeIrBr
1.0
4.623 0.000 0.000
2.311 2.312 0.000
2.311 0.000 6.174
Te Ir Br
1 1 1
direct
0.291 0.000 0.418
0.681 0.000 0.638
0.028 0.000 0.945
```